Entry from Alexandria: crystalline Cs3Sm3IrO8 at its relaxed geometry (PBE).

The structure in extended XYZ format:
```
15
Lattice="-6.844 0.845 -1.425 4.421 -2.084 -5.070 -1.836 -5.503 5.555" Properties=species:S:1:pos:R:3 pbc="T T T"
Cs 0.000 0.000 0.000
Cs 2.211 -1.042 -2.535
Cs -1.211 -0.620 -3.248
Sm -4.340 -2.329 2.065
Sm -2.130 -3.371 -0.470
Sm 1.293 -3.794 0.243
Ir -0.918 -2.752 2.777
O -0.059 -2.768 -1.358
O -4.200 -3.975 0.418
O -3.461 -2.465 -2.236
O -0.798 -4.278 1.296
O -5.881 -1.324 0.539
O 1.622 -5.419 -1.479
O -2.135 -1.786 1.319
O -2.124 -4.956 -2.259
```

- density (g/cm3) = 6.532
- formation energy from raw total energies (meV/atom) = -2150
- SG = R-3m, No. 166
- V (Å³/atom) = 19.8